Compound: OsAu3
Source: the Alexandria database
Functional: PBE-GGA
Structure: relaxed

Cell and atoms, written as POSCAR:
```
OsAu3
1.0
5.853 0.000 0.000
-2.926 5.069 0.000
0.000 0.000 4.651
Os Au
2 6
Cartesian
0.000 3.379 1.163
2.926 1.690 3.488
0.000 1.724 3.488
-1.433 4.207 3.488
1.493 0.862 1.163
1.433 4.207 3.488
4.360 0.862 1.163
2.926 3.345 1.163
```

Output
Excess energy over the best structure of this formula in the dataset   307.0 meV/atom
DFT formation energy   0.6813 eV/atom
D(E_F)   8.29 states/eV/cell
Energy   -4.584 eV/atom